(1)
Material: Co3RhC
Method: DFT, GGA-PBEsol
State: optimized geometry

```
Co3RhC
1.0
3.7247 0.0000 0.0000
0.0000 3.7247 0.0000
0.0000 0.0000 3.7247
Co Rh C
3 1 1
Direct
0.0000 0.0000 0.5000
0.0000 0.5000 0.0000
0.5000 0.0000 0.0000
0.5000 0.5000 0.5000
0.0000 0.0000 0.0000
```

Properties
* space-group type: Pm-3m, No. 221
* formation energy: 1.1 eV per formula unit
* spin magnetization: 4.43 Bohr magnetons per cell

(2)
Material: CoCS2
Method: DFT, GGA-PBEsol
State: optimized geometry

```
CoCS2
1.0
-2.3554 2.3554 4.3981
2.3554 -2.3554 4.3981
2.3554 2.3554 -4.3981
Co C S
2 2 4
Direct
0.0000 0.0000 0.0000
0.7500 0.2500 0.5000
0.2500 0.7500 0.5000
0.5000 0.5000 0.0000
0.1567 0.6250 0.0317
0.3750 0.4067 0.5317
0.5933 0.1250 0.9683
0.8750 0.8433 0.4683
```

Properties
* space-group type: I-42d, No. 122
* formation energy from raw total energies: 47.4 kJ/mol of atoms
* spin magnetization: 1.67 Bohr magnetons per cell

(3)
Material: Ta6CoC3S6
Method: DFT, GGA-PBEsol
State: optimized geometry

```
Ta6CoC3S6
1.0
2.8259 -4.8961 0.0000
2.8259 4.8961 0.0000
-1.8805 0.0000 8.2406
Ta Co C S
6 1 3 6
Direct
0.1200 0.1200 0.3622
0.2135 0.5464 0.6413
0.4536 0.7865 0.3587
0.5464 0.2135 0.6413
0.7865 0.4536 0.3587
0.8800 0.8800 0.6378
0.0000 0.0000 0.0000
0.1690 0.8310 0.5000
0.5000 0.5000 0.5000
0.8310 0.1690 0.5000
0.0539 0.3879 0.1608
0.2809 0.2809 0.8412
0.3879 0.0539 0.1608
0.6121 0.9461 0.8392
0.7191 0.7191 0.1588
0.9461 0.6121 0.8392
```

Properties
* space-group type: C2/m, No. 12
* formation energy from raw total energies: -89.9 kJ/mol of atoms
* spin magnetization: 1.15 Bohr magnetons per cell

(4)
Material: CoSb2C
Method: DFT, GGA-PBEsol
State: optimized geometry

```
CoSb2C
1.0
-2.7526 2.7526 4.9137
2.7526 -2.7526 4.9137
2.7526 2.7526 -4.9137
Co Sb C
2 4 2
Direct
0.0000 0.0000 0.0000
0.7500 0.2500 0.5000
0.1537 0.6250 0.0287
0.3750 0.4037 0.5287
0.5963 0.1250 0.9713
0.8750 0.8463 0.4713
0.2500 0.7500 0.5000
0.5000 0.5000 0.0000
```

Properties
* space-group type: I-42d, No. 122
* formation energy from raw total energies: 71.1 kJ/mol of atoms
* spin magnetization: 0.55 Bohr magnetons per cell

(5)
Material: Co2SbC
Method: DFT, GGA-PBEsol
State: optimized geometry

```
Co2SbC
1.0
-2.3471 2.3471 5.0403
2.3471 -2.3471 5.0403
2.3471 2.3471 -5.0403
Co Sb C
4 2 2
Direct
0.3750 0.2468 0.3718
0.7532 0.1250 0.1282
0.8750 0.0032 0.6282
0.9968 0.6250 0.8718
0.2500 0.7500 0.5000
0.5000 0.5000 0.0000
0.0000 0.0000 0.0000
0.7500 0.2500 0.5000
```

Properties
* space-group type: I-42d, No. 122
* formation energy from raw total energies: 33.4 kJ/mol of atoms
* spin magnetization: 0.00 Bohr magnetons per cell

(6)
Material: Ti2CoSbC
Method: DFT, GGA-PBEsol
State: optimized geometry

```
Ti2CoSbC
1.0
4.0176 0.0000 0.0000
0.0000 4.0176 0.0000
0.0000 0.0000 4.5327
Ti Co Sb C
2 1 1 1
Direct
0.0000 0.5000 0.0000
0.5000 0.0000 0.0000
0.0000 0.0000 0.5000
0.5000 0.5000 0.5000
0.5000 0.5000 0.0000
```

Properties
* space-group type: P4/mmm, No. 123
* formation energy from raw total energies: 11.9 kJ/mol of atoms
* spin magnetization: 0.23 Bohr magnetons per cell

(7)
Material: Sc3CoC
Method: DFT, GGA-PBEsol
State: optimized geometry

```
Sc3CoC
1.0
4.5723 0.0000 0.0000
0.0000 4.5723 0.0000
0.0000 0.0000 4.5723
Sc Co C
3 1 1
Direct
0.0000 0.0000 0.5000
0.0000 0.5000 0.0000
0.5000 0.0000 0.0000
0.0000 0.0000 0.0000
0.5000 0.5000 0.5000
```

Properties
* space-group type: Pm-3m, No. 221
* formation energy: 4.5 eV per formula unit
* spin magnetization: 0.00 Bohr magnetons per cell

(8)
Material: CoSiC2
Method: DFT, GGA-PBEsol
State: optimized geometry

```
CoSiC2
1.0
-2.1886 2.1886 4.1889
2.1886 -2.1886 4.1889
2.1886 2.1886 -4.1889
Co Si C
2 2 4
Direct
0.0000 0.0000 0.0000
0.7500 0.2500 0.5000
0.2500 0.7500 0.5000
0.5000 0.5000 0.0000
0.1209 0.6250 0.9959
0.3750 0.3709 0.4959
0.6291 0.1250 0.0041
0.8750 0.8791 0.5041
```

Properties
* space-group type: I-42d, No. 122
* formation energy from raw total energies: 42.5 kJ/mol of atoms
* spin magnetization: 0.00 Bohr magnetons per cell